# MnGaAuF6, optimized geometry, DFT GGA+U
data_MnGaAuF6
_chemical_formula_sum 'Mn2 Ga2 Au2 F12'
_cell_length_a 5.521
_cell_length_b 5.521
_cell_length_c 10.355
_cell_angle_alpha 90.00
_cell_angle_beta 90.00
_cell_angle_gamma 120.00
_space_group_name_H-M_alt 'P 1'
_space_group_IT_number 1
_space_group_name_Hall 'P 1'
loop_
_atom_site_label
_atom_site_type_symbol
_atom_site_fract_x
_atom_site_fract_y
_atom_site_fract_z
_atom_site_occupancy
Mn1 Mn 0.333 0.667 0.250 1
Mn2 Mn 0.667 0.333 0.750 1
Ga1 Ga 0.333 0.667 0.750 1
Ga2 Ga 0.667 0.333 0.250 1
Au1 Au 0.000 0.000 0.000 1
Au2 Au 0.000 0.000 0.500 1
F1 F 0.029 0.389 0.647 1
F2 F 0.029 0.640 0.853 1
F3 F 0.360 0.389 0.853 1
F4 F 0.360 0.971 0.647 1
F5 F 0.389 0.029 0.147 1
F6 F 0.389 0.360 0.353 1
F7 F 0.611 0.640 0.647 1
F8 F 0.611 0.971 0.853 1
F9 F 0.640 0.029 0.353 1
F10 F 0.640 0.611 0.147 1
F11 F 0.971 0.360 0.147 1
F12 F 0.971 0.611 0.353 1
# V (A^3/atom): 15.19
# E_tot (eV/atom): -4.8610